PrTmAsSe: optimized geometry, PBE.

abc: 4.1522 4.1522 7.2799
angles: 73.43 73.43 60.00
Closest atoms and distances in Å follow each position.
Element x y z (fractional)
Pr (0.2540, 0.2540, 0.2381)  3 As 2.97, 3 Se 3.07
Se (0.4940, 0.4940, 0.5180)  3 Tm 2.93, 3 Pr 3.07
As (0.0060, 0.0060, 0.9819)  3 Tm 2.83, 3 Pr 2.97
Tm (0.7460, 0.7460, 0.7620)  3 As 2.83, 3 Se 2.93

Results
VASP energy, eV/atom: -6.032
Calculated density, g cm⁻³: 7.5
Formation energy without anion corrections, eV/atom: -1.69



PrZnAsSe: optimized geometry, PBE.

abc: 4.3042 4.3042 14.2299
angles: 81.30 81.30 60.00
Closest atoms and distances in Å follow each position.
Element x y z (fractional)
As (0.3728, 0.3728, 0.8817)  4 Zn 2.59-2.60
As (0.6272, 0.6272, 0.1183)  4 Zn 2.59-2.60
Pr (0.0879, 0.0879, 0.7362)  3 Se 2.86
Pr (0.9121, 0.9121, 0.2638)  3 Se 2.86
Zn (0.6891, 0.6891, 0.9327)  4 As 2.59-2.60
Zn (0.3109, 0.3109, 0.0673)  4 As 2.59-2.60
Se (0.7884, 0.7884, 0.6348)  3 Pr 2.86
Se (0.2116, 0.2116, 0.3652)  3 Pr 2.86

Results
VASP energy, eV/atom: -4.582
Calculated density, g cm⁻³: 5.3
Formation energy without anion corrections, eV/atom: -1.04



Pr4SiAs2: optimized geometry, PBE.

abc: 7.9149 7.9149 7.9149
angles: 109.57 109.27 109.57
Closest atoms and distances in Å follow each position.
Element x y z (fractional)
As (0.3750, 0.8747, 0.7497)  8 Pr 2.99-3.34
As (0.4997, 0.3747, 0.6250)  8 Pr 2.99-3.34
As (0.8750, 0.1253, 0.5003)  8 Pr 2.99-3.34
As (0.2503, 0.6253, 0.1250)  8 Pr 2.99-3.34
Pr (0.4914, 0.1191, 0.2422)  2 Si 2.99-3.33, 4 As 2.99-3.34
Pr (0.9922, 0.6191, 0.7414)  2 Si 2.99-3.33, 4 As 2.99-3.34
Pr (0.1223, 0.3809, 0.3731)  2 Si 2.99-3.33, 4 As 2.99-3.34
Pr (0.6277, 0.7508, 0.5086)  2 Si 2.99-3.33, 4 As 2.99-3.34
Pr (0.7578, 0.2492, 0.8769)  2 Si 2.99-3.33, 4 As 2.99-3.34
Pr (0.6269, 0.7492, 0.0078)  2 Si 2.99-3.33, 4 As 2.99-3.34
Pr (0.2586, 0.2508, 0.8777)  2 Si 2.99-3.33, 4 As 2.99-3.34
Pr (0.1231, 0.8809, 0.3723)  2 Si 2.99-3.33, 4 As 2.99-3.34
Si (0.0000, 0.0000, 0.0000)  8 Pr 2.99-3.33
Si (0.7500, 0.5000, 0.2500)  8 Pr 2.99-3.33

Results
VASP energy, eV/atom: -5.895
Calculated density, g cm⁻³: 6.5
Formation energy without anion corrections, eV/atom: -1.06



PrSiAs: optimized geometry, PBE.

abc: 4.1106 5.6390 8.7512
angles: 120.27 90.00 111.38
Closest atoms and distances in Å follow each position.
Element x y z (fractional)
Si (0.6874, 0.3748, 0.5070)  1 As 2.37, 2 Si 2.48
Si (0.3126, 0.6252, 0.4930)  1 As 2.37, 2 Si 2.48
Pr (0.0476, 0.0952, 0.7877)  4 As 2.90-3.08, 3 Si 3.17-3.21
Pr (0.9524, 0.9048, 0.2123)  4 As 2.90-3.08, 3 Si 3.17-3.21
As (0.7689, 0.5379, 0.8178)  1 Si 2.37
As (0.2311, 0.4621, 0.1822)  1 Si 2.37

Results
VASP energy, eV/atom: -5.603
Calculated density, g cm⁻³: 5.1
Formation energy without anion corrections, eV/atom: -0.65



The highest calculated density belongs to which entry? PrTmAsSe



Look up the formation energy without anion corrections of the third one. -1.06 eV/atom



formation energy without anion corrections of number 1 (PrTmAsSe)? -1.69 eV/atom



What is the formula in the second record? PrZnAsSe